The following is a PBE calculation of crystalline Er5In2Os2 at its relaxed geometry, from the Alexandria database.

a b c (Å): 16.495 7.429 7.471
angles (deg): 90.00 90.00 90.00
Space group Cmce (No. 64)
Symmetry-distinct sites (fractional):
Er 0.000 0.000 0.000
Er 0.118 0.182 0.320
In 0.226 0.000 0.000
Os 0.000 0.117 0.620

Values from the calculation:
calculated total energy = -5.982 eV per atom

The following is a PBE calculation of crystalline Er5InOs at its relaxed geometry, from the Alexandria database.

a b c (Å): 9.129 7.469 11.655
angles (deg): 90.00 105.88 90.00
Space group C2/c (No. 15)
Symmetry-distinct sites (fractional):
Er 0.000 0.007 0.250
Er 0.124 0.331 0.063
Er 0.250 0.169 0.625
In 0.000 0.402 0.750
Os 0.000 0.000 0.000

Values from the calculation:
calculated total energy = -5.374 eV per atom

The following is a PBE calculation of crystalline Er6In2Os at its relaxed geometry, from the Alexandria database.

a b c (Å): 8.4721 8.4721 3.9037
angles (deg): 90.00 90.00 120.00
Space group P-62m (No. 189)
Symmetry-distinct sites (fractional):
Er 0.0000 0.3843 0.0000
Er 0.0000 0.7572 0.5000
In 0.3333 0.6667 0.5000
Os 0.0000 0.0000 0.0000

Values from the calculation:
calculated total energy = -5.245 eV per atom

The following is a PBE calculation of crystalline PmErInOs at its relaxed geometry, from the Alexandria database.

a b c (Å): 7.196 7.196 7.196
angles (deg): 90.00 90.00 90.00
Space group F-43m (No. 216)
Symmetry-distinct sites (fractional):
Pm 0.000 0.000 0.000
Er 0.000 0.000 0.500
In 0.250 0.250 0.250
Os 0.250 0.250 0.750

Values from the calculation:
calculated total energy = -6.005 eV per atom

The following is a PBE calculation of crystalline Er5In2OsRh2 at its relaxed geometry, from the Alexandria database.

a b c (Å): 11.578 11.578 3.464
angles (deg): 90.00 90.00 90.00
Space group P4/mbm (No. 127)
Symmetry-distinct sites (fractional):
Er 0.000 0.500 0.000
Er 0.063 0.194 0.000
In 0.180 0.680 0.500
Os 0.000 0.000 0.500
Rh 0.135 0.365 0.500

Values from the calculation:
calculated total energy = -5.968 eV per atom

The following is a PBE calculation of crystalline ErScInOs at its relaxed geometry, from the Alexandria database.

a b c (Å): 3.357 3.357 7.523
angles (deg): 90.00 90.00 90.00
Space group P4mm (No. 99)
Symmetry-distinct sites (fractional):
Er 0.000 0.000 0.000
Sc 0.000 0.000 0.580
In 0.500 0.500 0.310
Os 0.500 0.500 0.772

Values from the calculation:
offset from the most stable computed form = 0.00 kcal/mol of atoms

The following is a PBE calculation of crystalline ErScInOs at its relaxed geometry, from the Alexandria database.

a b c (Å): 6.904 6.904 6.904
angles (deg): 90.00 90.00 90.00
Space group F-43m (No. 216)
Symmetry-distinct sites (fractional):
Er 0.000 0.000 0.000
Sc 0.000 0.000 0.500
In 0.250 0.250 0.250
Os 0.250 0.250 0.750

Values from the calculation:
offset from the most stable computed form = 3.45 kcal/mol of atoms

The following is a PBE calculation of crystalline SmErInOs at its relaxed geometry, from the Alexandria database.

a b c (Å): 7.176 7.176 7.176
angles (deg): 90.00 90.00 90.00
Space group F-43m (No. 216)
Symmetry-distinct sites (fractional):
Sm 0.000 0.000 0.000
Er 0.000 0.000 0.500
In 0.250 0.250 0.750
Os 0.250 0.250 0.250

Values from the calculation:
calculated total energy = -6.012 eV per atom

The following is a PBE calculation of crystalline ErZrInOs at its relaxed geometry, from the Alexandria database.

a b c (Å): 3.307 3.307 7.843
angles (deg): 90.00 90.00 90.00
Space group P4mm (No. 99)
Symmetry-distinct sites (fractional):
Er 0.000 0.000 0.000
Zr 0.000 0.000 0.574
In 0.500 0.500 0.301
Os 0.500 0.500 0.770

Values from the calculation:
offset from the most stable computed form = 0.00 kcal/mol of atoms

The following is a PBE calculation of crystalline ErZrInOs at its relaxed geometry, from the Alexandria database.

a b c (Å): 6.938 6.938 6.938
angles (deg): 90.00 90.00 90.00
Space group F-43m (No. 216)
Symmetry-distinct sites (fractional):
Er 0.000 0.000 0.000
Zr 0.000 0.000 0.500
In 0.250 0.250 0.250
Os 0.250 0.250 0.750

Values from the calculation:
offset from the most stable computed form = 4.36 kcal/mol of atoms

The following is a PBE calculation of crystalline Er2InP at its relaxed geometry, from the Alexandria database.

a b c (Å): 3.8597 3.8597 23.7113
angles (deg): 90.00 90.00 120.00
Space group R-3m (No. 166, hexagonal axes)
Symmetry-distinct sites (fractional):
Er 0.0000 0.0000 0.2340
In 0.0000 0.0000 0.0000
P 0.0000 0.0000 0.5000

Values from the calculation:
calculated total energy = -5.297 eV per atom

The following is a PBE calculation of crystalline Er3InP at its relaxed geometry, from the Alexandria database.

a b c (Å): 5.186 5.186 5.186
angles (deg): 90.00 90.00 90.00
Space group Pm-3m (No. 221)
Symmetry-distinct sites (fractional):
Er 0.000 0.000 0.500
In 0.500 0.500 0.500
P 0.000 0.000 0.000

Values from the calculation:
calculated total energy = -5.073 eV per atom

The following is a PBE calculation of crystalline ErIn2P2Pd7 at its relaxed geometry, from the Alexandria database.

a b c (Å): 5.695 5.681 13.749
angles (deg): 90.00 101.94 90.00
Space group C2/m (No. 12)
Symmetry-distinct sites (fractional):
Er 0.000 0.000 0.000
In 0.227 0.500 0.618
P 0.132 0.500 0.254
Pd 0.000 0.500 0.000
Pd 0.172 0.252 0.840
Pd 0.207 0.000 0.576

Values from the calculation:
calculated total energy = -5.316 eV per atom

The following is a PBE calculation of crystalline Er6InP2S3 at its relaxed geometry, from the Alexandria database.

a b c (Å): 17.417 3.929 8.094
angles (deg): 90.00 103.20 90.00
Space group C2/m (No. 12)
Symmetry-distinct sites (fractional):
Er 0.002 0.000 0.270
Er 0.170 0.500 0.577
Er 0.173 0.500 0.095
In 0.000 0.500 0.000
P 0.168 0.000 0.336
S 0.000 0.500 0.500
S 0.168 0.000 0.831

Values from the calculation:
uncorrected formation energy = -1.550 eV/atom

The following is a PBE calculation of crystalline Er6InP2Se3 at its relaxed geometry, from the Alexandria database.

a b c (Å): 17.809 4.005 8.295
angles (deg): 90.00 103.44 90.00
Space group C2/m (No. 12)
Symmetry-distinct sites (fractional):
Er 0.006 0.000 0.263
Er 0.170 0.500 0.103
Er 0.173 0.500 0.572
In 0.000 0.500 0.000
P 0.168 0.000 0.338
Se 0.000 0.500 0.500
Se 0.166 0.000 0.831

Values from the calculation:
uncorrected formation energy = -1.467 eV/atom

The following is a PBE calculation of crystalline Er8In3PSe3 at its relaxed geometry, from the Alexandria database.

a b c (Å): 13.495 7.805 8.942
angles (deg): 90.00 120.16 90.00
Space group C2/m (No. 12)
Symmetry-distinct sites (fractional):
Er 0.009 0.241 0.285
Er 0.232 0.000 0.715
Er 0.241 0.500 0.722
In 0.000 0.000 0.000
In 0.250 0.250 0.000
P 0.000 0.000 0.500
Se 0.000 0.500 0.500
Se 0.250 0.250 0.500

Values from the calculation:
uncorrected formation energy = -0.994 eV/atom

The following is a PBE calculation of crystalline Er6InTe3P2 at its relaxed geometry, from the Alexandria database.

a b c (Å): 18.487 4.119 8.624
angles (deg): 90.00 104.36 90.00
Space group C2/m (No. 12)
Symmetry-distinct sites (fractional):
Er 0.012 0.000 0.253
Er 0.167 0.500 0.115
Er 0.176 0.500 0.563
In 0.000 0.500 0.000
Te 0.000 0.500 0.500
Te 0.165 0.000 0.831
P 0.170 0.000 0.340

Values from the calculation:
uncorrected formation energy = -1.250 eV/atom

The following is a PBE calculation of crystalline Er2PaIn at its relaxed geometry, from the Alexandria database.

a b c (Å): 3.422 3.422 9.178
angles (deg): 90.00 90.00 90.00
Space group P4/mmm (No. 123)
Symmetry-distinct sites (fractional):
Er 0.000 0.000 0.240
Pa 0.500 0.500 0.500
In 0.500 0.500 0.000

Values from the calculation:
offset from the most stable computed form = 0.00 kcal/mol of atoms

The following is a PBE calculation of crystalline Er2PaIn9 at its relaxed geometry, from the Alexandria database.

a b c (Å): 4.619 4.619 13.897
angles (deg): 90.00 90.00 90.00
Space group P4/mmm (No. 123)
Symmetry-distinct sites (fractional):
Er 0.000 0.000 0.166
Pa 0.000 0.000 0.500
In 0.000 0.500 0.000
In 0.000 0.500 0.332
In 0.500 0.500 0.167
In 0.500 0.500 0.500

Values from the calculation:
calculated total energy = -3.907 eV per atom

The following is a PBE calculation of crystalline Er2PaIn at its relaxed geometry, from the Alexandria database.

a b c (Å): 4.828 4.828 4.553
angles (deg): 90.00 90.00 90.00
Space group P4/mmm (No. 123)
Symmetry-distinct sites (fractional):
Er 0.000 0.500 0.000
Pa 0.000 0.000 0.500
In 0.500 0.500 0.500

Values from the calculation:
offset from the most stable computed form = 2.00 kcal/mol of atoms

The following is a PBE calculation of crystalline ErPaIn2 at its relaxed geometry, from the Alexandria database.

a b c (Å): 7.511 7.511 7.511
angles (deg): 90.00 90.00 90.00
Space group Fm-3m (No. 225)
Symmetry-distinct sites (fractional):
Er 0.000 0.000 0.000
Pa 0.000 0.000 0.500
In 0.250 0.250 0.250

Values from the calculation:
offset from the most stable computed form = 2.91 kcal/mol of atoms

The following is a PBE calculation of crystalline Er2PaIn at its relaxed geometry, from the Alexandria database.

a b c (Å): 3.2663 3.2663 35.5069
angles (deg): 90.00 90.00 120.00
Space group R-3m (No. 166, hexagonal axes)
Symmetry-distinct sites (fractional):
Er 0.0000 0.0000 0.0911
Pa 0.0000 0.0000 0.0000
In 0.0000 0.0000 0.5000

Values from the calculation:
offset from the most stable computed form = 6.48 kcal/mol of atoms

The following is a PBE calculation of crystalline ErPaIn2 at its relaxed geometry, from the Alexandria database.

a b c (Å): 3.298 3.298 9.297
angles (deg): 90.00 90.00 90.00
Space group P4/mmm (No. 123)
Symmetry-distinct sites (fractional):
Er 0.000 0.000 0.000
Pa 0.000 0.000 0.500
In 0.500 0.500 0.246

Values from the calculation:
offset from the most stable computed form = 0.00 kcal/mol of atoms

The following is a PBE calculation of crystalline ErPaIn2 at its relaxed geometry, from the Alexandria database.

a b c (Å): 4.761 4.761 4.553
angles (deg): 90.00 90.00 90.00
Space group P4/mmm (No. 123)
Symmetry-distinct sites (fractional):
Er 0.000 0.000 0.000
Pa 0.500 0.500 0.000
In 0.000 0.500 0.500

Values from the calculation:
offset from the most stable computed form = 1.81 kcal/mol of atoms